This record from Alexandria via LeMat-Bulk describes an optimized crystal structure of AcTbSb2. The functional is GGA-PBE.

Values from the calculation:
formation energy from raw total energies	-1.162	eV/atom
DOS at the Fermi energy	0.56	states/eV/f.u.

Cell lengths 4.604, 4.604, 7.964 Å; angles 73.20, 73.20, 60.00 degrees
Atoms (fractional coordinates):
Sb 0.757 0.757 0.728
Sb 0.243 0.243 0.272
Ac 0.000 0.000 0.000
Tb 0.500 0.500 0.500